No. 1
Here is crystalline MnIrOs2 at its relaxed geometry from the Alexandria database. Energies are from PBE.

Cell: 8.812 8.812 8.812 Å, 17.66 17.66 17.66°
Sites, in units of the cell vectors:
Mn 0.000 0.000 0.000
Ir 0.500 0.500 0.500
Os 0.253 0.253 0.253
Os 0.747 0.747 0.747

Values from the calculation:
The calculation puts the polymorph energy (0 for the lowest one) at 107 meV/atom. Its crystal system is trigonal. The formation energy comes out at 0.104 eV per atom.


No. 2
Here is crystalline CeOs3 at its relaxed geometry from the Alexandria database. Energies are from PBE.

Cell: 5.293 5.293 17.869 Å, 90.00 90.00 120.00°
Sites, in units of the cell vectors:
Ce 0.333 0.667 0.037
Ce 0.333 0.667 0.250
Ce 0.333 0.667 0.463
Ce 0.667 0.333 0.537
Ce 0.667 0.333 0.750
Ce 0.667 0.333 0.963
Os 0.000 0.000 0.000
Os 0.000 0.000 0.250
Os 0.000 0.000 0.500
Os 0.000 0.000 0.750
Os 0.168 0.336 0.628
Os 0.168 0.336 0.872
Os 0.168 0.832 0.628
Os 0.168 0.832 0.872
Os 0.333 0.667 0.750
Os 0.336 0.168 0.128
Os 0.336 0.168 0.372
Os 0.664 0.832 0.628
Os 0.664 0.832 0.872
Os 0.667 0.333 0.250
Os 0.832 0.168 0.128
Os 0.832 0.168 0.372
Os 0.832 0.664 0.128
Os 0.832 0.664 0.372

Values from the calculation:
Its crystal system is hexagonal. The formation energy comes out at -0.052 eV per atom.